Below is a relaxed structure of GeTe, with properties calculated at the PBE level.

```
16
Lattice="11.434 0.000 0.000 0.000 11.434 0.000 0.000 0.000 4.031" Properties=species:S:1:pos:R:3 pbc="T T T"
Ge 0.956 3.516 0.000
Ge 1.063 6.801 2.015
Ge 3.516 10.478 0.000
Ge 4.633 1.063 2.015
Ge 6.801 10.370 2.015
Ge 7.917 0.956 0.000
Ge 10.370 4.633 2.015
Ge 10.478 7.917 0.000
Te 1.933 9.459 2.015
Te 1.975 1.933 2.015
Te 2.629 5.698 0.000
Te 5.698 8.804 0.000
Te 5.736 2.629 0.000
Te 8.804 5.736 0.000
Te 9.459 9.501 2.015
Te 9.501 1.975 2.015
```

The total energy is -3.9130 eV per atom. Its formation energy from raw total energies is -0.033 eV per atom.